Computed, not measured: a relaxed structure of UVO5 at the GGA+U level of DFT.

Geometry as extended XYZ:
```
28
Lattice="-0.128 -5.157 1.002 5.385 1.602 -5.021 6.530 1.278 7.412" Properties=species:S:1:pos:R:3 pbc="T T T"
O 3.059 -1.688 0.283
O 5.190 -3.018 1.284
O 5.927 -1.555 3.659
O 6.598 0.742 2.109
O 0.620 -1.621 1.090
O 10.075 2.096 2.228
O 8.125 -3.010 1.309
O 7.536 -0.833 5.634
O 8.143 1.477 4.494
O 5.861 -0.721 -0.266
O 11.168 -0.655 2.303
O 8.934 -0.660 0.399
O 8.729 -0.589 3.110
O 6.331 -3.339 -0.996
O 3.662 0.733 2.084
O 3.645 -3.754 -1.101
O 5.457 1.063 4.389
O 2.854 -1.616 2.995
O 4.251 -1.443 -2.241
O 1.713 -4.373 1.165
V 4.695 -2.418 -0.462
V 9.635 -1.652 1.747
V 2.153 -0.624 1.646
V 7.092 0.142 3.855
U 10.338 0.948 3.725
U 1.450 -3.224 -0.332
U 4.696 -2.996 3.462
U 7.091 0.720 -0.069
```

Values from the calculation:
The space group is No. 14. For the total DFT energy (no corrections), the calculation gives -246.54 eV/cell.